# GGA-PBEsol CaYAu4, relaxed
data_CaYAu4
_cell_length_a 7.867
_cell_length_b 7.867
_cell_length_c 7.867
_cell_angle_alpha 90.00
_cell_angle_beta 90.00
_cell_angle_gamma 90.00
_symmetry_space_group_name_H-M 'F -4 3 m'
_symmetry_Int_Tables_number 216
_symmetry_space_group_name_Hall 'F -4 2 3'
loop_
_atom_site_label
_atom_site_type_symbol
_atom_site_fract_x
_atom_site_fract_y
_atom_site_fract_z
_atom_site_occupancy
Ca1 Ca 0.000 0.000 0.000 1
Y1 Y 0.250 0.250 0.750 1
Au1 Au 0.125 0.125 0.375 1
# ΔE_f: -599 meV/atom
# DOS(E_F): 16.57 states/eV per cell
# E: -4.7079 eV per atom